[1]
# Tb2DyPa

A relaxed Tb2DyPa crystal (PBE-GGA, Alexandria via LeMat-Bulk).

## Properties
**Total DFT energy (no corrections)**: -5.62 eV per atom
**Density of states at the Fermi level**: 5.2 states/eV per cell
**ΔE_f**: 0.220 eV per atom
**Relative energy among the computed polymorphs**: 0.102 eV per atom
**Total moment**: 0.0 μB per formula unit

Lattice parameters (Å, degrees): 4.9237 4.9237 4.9007 90.00 90.00 90.00
Closest atoms and distances in Å follow each position.
Element x y z (fractional)
Tb 0.0000 0.5000 0.0000  4 Dy 3.47, 4 Pa 3.47, 4 Tb 3.48
Tb 0.5000 0.0000 0.0000  4 Dy 3.47, 4 Pa 3.47, 4 Tb 3.48
Dy 0.0000 0.0000 0.5000  8 Tb 3.47, 4 Pa 3.48
Pa 0.5000 0.5000 0.5000  8 Tb 3.47, 4 Dy 3.48

---

[2]
# Mo2RuN

A relaxed Mo2RuN crystal (PBE-GGA, Alexandria via LeMat-Bulk).

## Properties
**Total DFT energy (no corrections)**: -9.95 eV per atom
**Density of states at the Fermi level**: 2.9 states/eV per cell
**Total moment**: 0.0 μB per formula unit
**Raw formation energy**: -0.52 eV per formula unit

Lattice parameters (Å, degrees): 7.3850 7.3850 7.3850 22.26 22.26 22.26
Closest atoms and distances in Å follow each position.
Element x y z (fractional)
Mo 0.0000 0.0000 0.0000  3 N 2.17
Mo 0.2044 0.2044 0.2044  3 N 2.15
Ru 0.4392 0.4392 0.4392  6 Mo 2.69-2.82, 6 Ru 2.85
N 0.6015 0.6015 0.6015  6 Mo 2.15-2.17